VASP calculation (PBE) on an optimized crystal structure of KLaRu4.

Output
Volume in Å³/cell: 116
Crystal system: cubic
Calculated total energy in eV per atom: -6.688
DFT formation energy in eV per atom: 0.500

Cell lengths 5.4696, 5.4696, 5.4696 Å; angles 60.00, 60.00, 60.00 degrees
With the nearest neighbours (Å) after each atom.
Element x y z (fractional)
1 K 0.0000 0.0000 0.0000  12 Ru 3.21, 4 La 3.35
2 La 0.7500 0.7500 0.7500  12 Ru 3.21, 4 K 3.35
3 Ru 0.3751 0.3751 0.3751  6 Ru 2.73-2.74
4 Ru 0.3751 0.3751 0.8747  6 Ru 2.73-2.74
5 Ru 0.3751 0.8747 0.3751  6 Ru 2.73-2.74
6 Ru 0.8747 0.3751 0.3751  6 Ru 2.73-2.74

VASP calculation (PBE) on an optimized crystal structure of AlP2PbS8.

Output
Volume in Å³/cell: 253
Formation energy without anion corrections in eV per atom: -0.30
Crystal system: trigonal
Calculated total energy in eV per atom: -4.570

Cell lengths 5.8752, 5.8752, 8.4779 Å; angles 90.00, 90.00, 120.00 degrees
With the nearest neighbours (Å) after each atom.
Element x y z (fractional)
1 Al 0.0000 0.0000 0.0000  6 S 2.42
2 P 0.3333 0.6667 0.2400  4 S 2.04-2.07
3 P 0.6667 0.3333 0.7600  4 S 2.04-2.07
4 Pb 0.0000 0.0000 0.5000  12 S 3.31-3.40
5 S 0.0025 0.6803 0.8209  1 P 2.07
6 S 0.3197 0.3222 0.8209  1 P 2.07
7 S 0.3222 0.0025 0.1791  1 P 2.07
8 S 0.3333 0.6667 0.4808  1 P 2.04
9 S 0.6667 0.3333 0.5192  1 P 2.04
10 S 0.6778 0.9975 0.8209  1 P 2.07
11 S 0.6803 0.6778 0.1791  1 P 2.07
12 S 0.9975 0.3197 0.1791  1 P 2.07